1.
Entry from OQMD via LeMat-Bulk: crystalline Pu2Zn2As3P at its relaxed geometry (PBE).

a = 7.3039 Å, b = 7.3039 Å, c = 6.2006 Å
α = 114.63°, β = 114.63°, γ = 49.39°
Last column: nearest neighbours and their distance in Å.
Fractional positions:
Pu 0.1222 0.1222 0.3669  1 P 2.70, 3 As 2.82-2.83
Pu 0.8778 0.8778 0.6331  1 P 2.70, 3 As 2.82-2.83
Zn 0.3999 0.3613 0.1198  1 P 2.38, 3 As 2.51-2.52
Zn 0.6387 0.6001 0.8802  1 P 2.38, 3 As 2.51-2.52
As 0.0116 0.4896 0.7959  2 Zn 2.51
As 0.3044 0.6956 0.5000  2 Zn 2.52
As 0.5104 0.9884 0.2041  2 Zn 2.51
P 0.7228 0.2772 0.0000  2 Zn 2.38

Output
* total magnetic moment: 8.17 μB/cell
* ρ: 6.51 Mg/m³
* total energy: -6.41 eV/atom



2.
Entry from OQMD via LeMat-Bulk: crystalline Rb2Sm2AsP at its relaxed geometry (PBE).

a = 5.1487 Å, b = 5.1487 Å, c = 8.0969 Å
α = 90.00°, β = 90.00°, γ = 90.00°
Last column: nearest neighbours and their distance in Å.
Fractional positions:
Rb 0.0000 0.0000 0.0000  1 P 3.68, 4 As 4.00, 4 Sm 4.06, 4 Rb 4.11
Rb 0.5000 0.5000 0.2346  1 As 3.56
Sm 0.0000 0.5000 0.6124  2 P 2.87, 2 As 2.97
Sm 0.5000 0.0000 0.6124  2 P 2.87, 2 As 2.97
As 0.5000 0.5000 0.7948  4 Sm 2.97
P 0.0000 0.0000 0.4548  4 Sm 2.87

Output
* total magnetic moment: 0.03 μB/cell
* ρ: 4.47 Mg/m³
* energy above the most stable polymorph in this dataset: 0 kJ/mol of formula units
* total energy: -4.26 eV/atom



3.
Entry from OQMD via LeMat-Bulk: crystalline Rb2Sm2AsP at its relaxed geometry (PBE).

a = 4.4210 Å, b = 4.4210 Å, c = 15.4677 Å
α = 90.00°, β = 90.00°, γ = 120.00°
Last column: nearest neighbours and their distance in Å.
Fractional positions:
Rb 0.0000 0.0000 0.0000  3 P 3.52
Rb 0.3333 0.6667 0.4945  3 As 3.53
Sm 0.6667 0.3333 0.2256  3 P 2.77
Sm 0.6667 0.3333 0.7308  3 As 2.83
As 0.0000 0.0000 0.6519  3 Sm 2.83
P 0.3333 0.6667 0.1567  3 Sm 2.77

Output
* total magnetic moment: 0.95 μB/cell
* ρ: 3.66 Mg/m³
* energy above the most stable polymorph in this dataset: 81 kJ/mol of formula units
* total energy: -4.12 eV/atom